No. 1
A plane-wave DFT calculation with PBE was carried out for a relaxed structure of Cs2BaNa.

Computed properties:
**ΔH_f (0 K)**: 197 meV/atom
**Calculated total energy**: -1.04 eV/atom

Lattice parameters (Å, degrees): 7.660 7.660 7.660 60.00 60.00 60.00
Fractional coordinates of all 4 atoms:
Na (0.000, 0.000, 0.000)
Cs (0.250, 0.250, 0.250)
Ba (0.500, 0.500, 0.500)
Cs (0.750, 0.750, 0.750)



No. 2
A plane-wave DFT calculation with PBE was carried out for a relaxed structure of CsBa2NaNi.

Computed properties:
**ΔH_f (0 K)**: 183 meV/atom
**Calculated total energy**: -2.18 eV/atom

Lattice parameters (Å, degrees): 6.079 6.079 6.652 90.00 90.00 90.00
Fractional coordinates of all 5 atoms:
Na (0.000, 0.000, 0.500)
Ba (0.500, 0.000, 0.000)
Ni (0.000, 0.000, 0.000)
Cs (0.500, 0.500, 0.500)
Ba (0.000, 0.500, 0.000)



No. 3
A plane-wave DFT calculation with PBE was carried out for a relaxed structure of CsBaNa2P.

Computed properties:
**ΔH_f (0 K)**: 436 meV/atom
**Calculated total energy**: -1.73 eV/atom

Lattice parameters (Å, degrees): 5.935 6.375 5.935 90.00 90.00 90.00
Fractional coordinates of all 5 atoms:
Na (0.500, 0.000, 0.000)
Cs (0.000, 0.000, 0.000)
P (0.000, 0.500, 0.000)
Ba (0.500, 0.500, 0.500)
Na (0.000, 0.000, 0.500)



No. 4
A plane-wave DFT calculation with PBE was carried out for a relaxed structure of CsBaNaPb.

Computed properties:
**ΔH_f (0 K)**: -206 meV/atom
**Calculated total energy**: -2.16 eV/atom

Lattice parameters (Å, degrees): 6.109 6.109 6.109 60.00 60.00 60.00
Fractional coordinates of all 4 atoms:
Na (0.000, 0.000, 0.000)
Cs (0.250, 0.250, 0.250)
Ba (0.500, 0.500, 0.500)
Pb (0.750, 0.750, 0.750)



No. 5
A plane-wave DFT calculation with PBE was carried out for a relaxed structure of CsBa2NaPd.

Computed properties:
**ΔH_f (0 K)**: -101 meV/atom
**Calculated total energy**: -2.34 eV/atom

Lattice parameters (Å, degrees): 6.264 6.264 6.591 90.00 90.00 90.00
Fractional coordinates of all 5 atoms:
Ba (0.000, 0.500, 0.000)
Ba (0.500, 0.000, 0.000)
Pd (0.000, 0.000, 0.000)
Na (0.000, 0.000, 0.500)
Cs (0.500, 0.500, 0.500)



No. 6
A plane-wave DFT calculation with PBE was carried out for a relaxed structure of Cs2BaNaPd.

Computed properties:
**ΔH_f (0 K)**: 16 meV/atom
**Calculated total energy**: -2.01 eV/atom

Lattice parameters (Å, degrees): 6.978 6.978 6.213 90.00 90.00 90.00
Fractional coordinates of all 5 atoms:
Na (0.500, 0.500, 0.500)
Ba (0.000, 0.000, 0.500)
Pd (0.000, 0.000, 0.000)
Cs (0.000, 0.500, 0.000)
Cs (0.500, 0.000, 0.000)



No. 7
A plane-wave DFT calculation with PBE was carried out for a relaxed structure of CsBa2NaPd.

Computed properties:
**ΔH_f (0 K)**: -94 meV/atom
**Calculated total energy**: -2.34 eV/atom

Lattice parameters (Å, degrees): 6.290 6.290 7.023 90.00 90.00 90.00
Fractional coordinates of all 5 atoms:
Cs (0.000, 0.000, 0.500)
Pd (0.000, 0.000, 0.000)
Na (0.500, 0.500, 0.500)
Ba (0.500, 0.000, 0.000)
Ba (0.000, 0.500, 0.000)



No. 8
A plane-wave DFT calculation with PBE was carried out for a relaxed structure of CsBaNa2Pt.

Computed properties:
**ΔH_f (0 K)**: -96 meV/atom
**Calculated total energy**: -2.39 eV/atom

Lattice parameters (Å, degrees): 6.051 6.051 5.981 90.00 90.00 90.00
Fractional coordinates of all 5 atoms:
Pt (0.000, 0.000, 0.000)
Ba (0.000, 0.000, 0.500)
Na (0.500, 0.000, 0.000)
Na (0.000, 0.500, 0.000)
Cs (0.500, 0.500, 0.500)